# 1
Below is crystalline CeTiTl2 at its relaxed geometry, with properties calculated at the PBE level.

It has space group P4/mmm (No. 123), with a = 3.286 Å, b = 3.286 Å, c = 8.772 Å, α = 90.00°, β = 90.00° and γ = 90.00°. The inequivalent atoms are Ce at (0.000, 0.000, 0.000), Ti at (0.000, 0.000, 0.500) and Tl at (0.500, 0.500, 0.278).

The formation enthalpy at 0 K comes out at -0.08 eV per formula unit.

---

# 2
Below is crystalline CeTi2Tl at its relaxed geometry, with properties calculated at the PBE level.

It has space group P4/mmm (No. 123), with a = 3.489 Å, b = 3.489 Å, c = 6.741 Å, α = 90.00°, β = 90.00° and γ = 90.00°. The inequivalent atoms are Ce at (0.000, 0.000, 0.000), Ti at (0.500, 0.500, 0.240) and Tl at (0.000, 0.000, 0.500).

The energy above the most stable polymorph in this dataset is 68 meV per atom. The formation enthalpy at 0 K comes out at 0.67 eV per formula unit.

---

What did the first record say?
Below is crystalline CeTiTl2 at its relaxed geometry, with properties calculated at the PBE level.

It has space group P4/mmm (No. 123), with a = 3.286 Å, b = 3.286 Å, c = 8.772 Å, α = 90.00°, β = 90.00° and γ = 90.00°. The inequivalent atoms are Ce at (0.000, 0.000, 0.000), Ti at (0.000, 0.000, 0.500) and Tl at (0.500, 0.500, 0.278).

The formation enthalpy at 0 K comes out at -0.08 eV per formula unit.

---

Q: Number 1 is which compound?
A: CeTiTl2

---

Q: What is the formation enthalpy at 0 K in the second record?
A: 0.67 eV per formula unit

---

Please write out number 1 again, unchanged.
Below is crystalline CeTiTl2 at its relaxed geometry, with properties calculated at the PBE level.

It has space group P4/mmm (No. 123), with a = 3.286 Å, b = 3.286 Å, c = 8.772 Å, α = 90.00°, β = 90.00° and γ = 90.00°. The inequivalent atoms are Ce at (0.000, 0.000, 0.000), Ti at (0.000, 0.000, 0.500) and Tl at (0.500, 0.500, 0.278).

The formation enthalpy at 0 K comes out at -0.08 eV per formula unit.